LiY4Pt | PBE | relaxed

Computed properties:
Energy above the lowest structure with this stoichiometry   575 meV per atom
Energy of formation   0.45 eV/atom

Structure (CIF):
```
data_LiY4Pt
_cell_length_a 8.752
_cell_length_b 8.752
_cell_length_c 8.752
_cell_angle_alpha 90.00
_cell_angle_beta 90.00
_cell_angle_gamma 90.00
_symmetry_space_group_name_H-M 'F -4 3 m'
_symmetry_Int_Tables_number 216
_symmetry_space_group_name_Hall 'F -4 2 3'
loop_
_atom_site_label
_atom_site_fract_x
_atom_site_fract_y
_atom_site_fract_z
Li1 0.000 0.000 0.000
Y1 0.124 0.124 0.376
Pt1 0.250 0.250 0.750
```